No. 1
ZnHg2AsF6: relaxed, PBE.

Lattice parameters (Å, degrees): 6.0033 6.0031 6.0049 59.93 59.93 89.97
Sites, in units of the cell vectors:
F1 0.7491 0.2509 0.0000
F2 0.2509 0.7491 0.0000
F3 0.7491 0.7491 0.0000
F4 0.2509 0.2509 0.0000
F5 0.2505 0.2505 0.4990
F6 0.7495 0.7495 0.5010
Hg1 0.7499 0.2501 0.5000
Hg2 0.2501 0.7499 0.5000
Zn1 0.0000 0.0000 0.0000
As1 0.5000 0.5000 0.0000

Summary:
Crystal system ... monoclinic
Magnetic moment ... 0.01 μB per atom
Formation energy from raw total energies ... -1.51 eV/atom
Symmetry ... C2/m, No. 12

=====

No. 2
Li2CeCdHg2: relaxed, PBE.

Lattice parameters (Å, degrees): 4.7460 4.7460 6.8685 90.00 90.00 120.00
Last column: magnetic moment on the atom in μB.
Sites, in units of the cell vectors:
Hg1 0.6667 0.3333 0.7566  0.01
Hg2 0.3333 0.6667 0.2434  0.01
Li1 0.6667 0.3333 0.3478  0.00
Li2 0.3333 0.6667 0.6522  0.00
Cd1 0.0000 0.0000 0.5000  0.01
Ce1 0.0000 0.0000 0.0000  0.84

Summary:
Crystal system ... trigonal
Formation enthalpy at 0 K ... -0.29 eV per atom
Magnetic moment ... 0.17 μB per atom
Symmetry ... P-3m1, No. 164

=====

No. 3
Nd4Al2Cd: relaxed, PBE.

Lattice parameters (Å, degrees): 8.1415 8.1415 8.1415 109.94 108.55 109.94
Sites, in units of the cell vectors:
Nd1 0.2698 0.2519 0.8609
Nd2 0.9821 0.5911 0.7302
Nd3 0.6109 0.7519 0.5198
Nd4 0.7679 0.2481 0.8589
Nd5 0.1411 0.9089 0.3891
Nd6 0.4802 0.0911 0.2321
Nd7 0.1391 0.4089 0.3911
Nd8 0.6089 0.7481 0.0179
Al1 0.3750 0.8838 0.7588
Al2 0.2412 0.6162 0.1250
Al3 0.8750 0.1162 0.4912
Al4 0.5088 0.3838 0.6250
Cd1 0.0000 0.0000 0.0000
Cd2 0.7500 0.5000 0.2500

Summary:
Crystal system ... tetragonal
Energy relative to the lowest polymorph listed for this composition ... 5.2 kJ/mol of atoms
Formation enthalpy at 0 K ... -0.17 eV per atom
Magnetic moment ... 0.00 μB per atom
Symmetry ... I-42d, No. 122

=====

No. 4
MnInIr4: relaxed, PBE.

Lattice parameters (Å, degrees): 5.2240 5.2240 5.2240 60.00 60.00 60.00
Last column: magnetic moment on the atom in μB.
Sites, in units of the cell vectors:
Ir1 0.3752 0.3752 0.8745  0.13
Ir2 0.8745 0.3752 0.3752  0.13
Ir3 0.3752 0.8745 0.3752  0.13
Ir4 0.3752 0.3752 0.3752  0.13
In1 0.0000 0.0000 0.0000  -0.03
Mn1 0.7500 0.7500 0.7500  4.01

Summary:
Crystal system ... cubic
Formation enthalpy at 0 K ... 0.22 eV per atom
Magnetic moment ... 0.79 μB per atom
Symmetry ... F-43m, No. 216

=====

No. 5
TePbS: relaxed, PBE.

Lattice parameters (Å, degrees): 4.5952 4.5952 11.0383 67.43 67.43 90.27
Sites, in units of the cell vectors:
Pb1 0.9141 0.9141 0.8208
Pb2 0.0859 0.0859 0.1792
S1 0.8481 0.8481 0.5004
S2 0.1519 0.1519 0.4996
Te1 0.5946 0.5946 0.1593
Te2 0.4054 0.4054 0.8407

Summary:
Crystal system ... monoclinic
Energy relative to the lowest polymorph listed for this composition ... 0.0 kJ/mol of atoms
Magnetic moment ... 0.00 μB per atom
Formation energy from raw total energies ... -0.14 eV/atom
Symmetry ... C2/m, No. 12